A relaxed structure of PaTl2InCl8. Source: Alexandria via LeMat-Bulk, functional PBE-GGA.

- crystal system = monoclinic
- E_tot (eV for the cell shown) = -48.7
- total magnetization (μB per atom) = 0.00
- E_form (uncorrected) (eV/atom) = -1.411

Unit cell a=7.160 b=7.093 c=9.466 alpha=89.99 beta=90.01 gamma=92.51
Atoms (fractional coordinates):
Pa (0.000, 0.000, 0.000)
Tl (0.500, 0.500, 0.729)
Tl (0.500, 0.500, 0.271)
In (0.000, 0.000, 0.500)
Cl (0.124, 0.787, 0.196)
Cl (0.692, 0.806, 0.000)
Cl (0.875, 0.212, 0.196)
Cl (0.876, 0.213, 0.804)
Cl (0.308, 0.194, 0.000)
Cl (0.125, 0.788, 0.804)
Cl (0.676, 0.719, 0.500)
Cl (0.324, 0.281, 0.500)